[1]
CsSrNpBr6: optimized geometry, PBE-GGA.

## Properties
total energy: -82.0 eV/cell

Cell: 7.8728 7.8728 15.6042 Å, 90.00 90.00 120.00°
Space group P-31c (No. 163)
Unique sites:
Cs: 0.0000 0.0000 0.0000 x2
Sr: 0.3333 0.6667 0.2500 x2
Np: 0.3333 0.6667 0.7500 x2
Br: 0.0158 0.3840 0.6426 x12


[2]
CsSr2NpBr8: optimized geometry, PBE-GGA.

## Properties
total energy: -51.8 eV/cell

Cell: 7.1452 7.2159 9.7093 Å, 89.97 89.93 89.69°
Space group P-1 (No. 2)
Unique sites:
Cs: 0.0000 0.0000 0.0000 x1
Sr: 0.4999 0.5001 0.2493 x2
Np: 0.0000 0.0000 0.5000 x1
Br: 0.2457 0.8420 0.7045 x2
Br: 0.2464 0.8427 0.2952 x2
Br: 0.2572 0.3254 0.5002 x2
Br: 0.2647 0.3998 0.0002 x2


[3]
CsNp2TlBr8: optimized geometry, PBE-GGA.

## Properties
total energy: -57.8 eV/cell

Cell: 8.0486 8.0486 8.7485 Å, 90.00 90.00 120.00°
Space group P-3 (No. 147)
Unique sites:
Cs: 0.0000 0.0000 0.0000 x1
Np: 0.3333 0.6667 0.4179 x2
Tl: 0.0000 0.0000 0.5000 x1
Br: 0.0553 0.3883 0.6540 x6
Br: 0.3333 0.6667 0.0996 x2


[4]
CsNpTl2Br8: optimized geometry, PBE-GGA.

## Properties
total energy: -45.3 eV/cell

Cell: 6.8072 7.9546 10.2800 Å, 90.18 90.10 93.81°
Space group P-1 (No. 2)
Unique sites:
Cs: 0.0000 0.0000 0.0000 x1
Np: 0.0000 0.0000 0.5000 x1
Tl: 0.4987 0.4989 0.7768 x2
Br: 0.1387 0.7978 0.3133 x2
Br: 0.1410 0.7993 0.6860 x2
Br: 0.3343 0.1968 0.4996 x2
Br: 0.4668 0.2491 0.0000 x2


The following energy relative to the elements, uncorrected values (in meV per atom) correspond, in order, to the records above: -1719, -1768, -1278, -1117.